No. 1
Material: TaInCuIr
Method: DFT, PBE-GGA
State: relaxed

Computed properties:
Relative energy among the computed polymorphs = 0.00 kcal/mol of atoms
SG = F-43m (216)

CIF file:
```
data_TaInCuIr
_space_group_name_H-M_alt 'P 1'
_space_group_IT_number 1
_cell_length_a 4.5109
_cell_length_b 4.5109
_cell_length_c 4.5109
_cell_angle_alpha 60.00
_cell_angle_beta 60.00
_cell_angle_gamma 60.00
loop_
_space_group_symop_operation_xyz
'x,y,z'
loop_
_atom_site_label
_atom_site_type_symbol
_atom_site_fract_x
_atom_site_fract_y
_atom_site_fract_z
Ir1 Ir 0.2500 0.2500 0.2500
Cu1 Cu 0.7500 0.7500 0.7500
Ta1 Ta 0.5000 0.5000 0.5000
In1 In 0.0000 0.0000 0.0000
```



No. 2
Material: LaTbCu2P4
Method: DFT, PBE-GGA
State: relaxed

Computed properties:
Calculated total energy = -5.699 eV per atom
SG = P4mm (99)

CIF file:
```
data_LaTbCu2P4
_space_group_name_H-M_alt 'P 1'
_space_group_IT_number 1
_cell_length_a 3.7821
_cell_length_b 3.7821
_cell_length_c 9.9967
_cell_angle_alpha 90.00
_cell_angle_beta 90.00
_cell_angle_gamma 90.00
loop_
_space_group_symop_operation_xyz
'x,y,z'
loop_
_atom_site_label
_atom_site_type_symbol
_atom_site_fract_x
_atom_site_fract_y
_atom_site_fract_z
P1 P 0.5000 0.5000 0.6541
P2 P 0.0000 0.5000 0.9890
P3 P 0.5000 0.0000 0.9890
P4 P 0.0000 0.0000 0.3611
Cu1 Cu 0.5000 0.0000 0.5060
Cu2 Cu 0.0000 0.5000 0.5060
Tb1 Tb 0.0000 0.0000 0.7638
La1 La 0.5000 0.5000 0.2308
```



No. 3
Material: NiSnMoW
Method: DFT, PBE-GGA
State: relaxed

Computed properties:
Calculated total energy = -8.053 eV per atom
SG = F-43m (216)

CIF file:
```
data_NiSnMoW
_space_group_name_H-M_alt 'P 1'
_space_group_IT_number 1
_cell_length_a 4.4786
_cell_length_b 4.4786
_cell_length_c 4.4786
_cell_angle_alpha 60.00
_cell_angle_beta 60.00
_cell_angle_gamma 60.00
loop_
_space_group_symop_operation_xyz
'x,y,z'
loop_
_atom_site_label
_atom_site_type_symbol
_atom_site_fract_x
_atom_site_fract_y
_atom_site_fract_z
Sn1 Sn 0.0000 0.0000 0.0000
W1 W 0.5000 0.5000 0.5000
Mo1 Mo 0.2500 0.2500 0.2500
Ni1 Ni 0.7500 0.7500 0.7500
```



No. 4
Material: YTaB
Method: DFT, PBE-GGA
State: relaxed

Computed properties:
Relative energy among the computed polymorphs = 0.00 kcal/mol of atoms
SG = F-43m (216)

CIF file:
```
data_YTaB
_space_group_name_H-M_alt 'P 1'
_space_group_IT_number 1
_cell_length_a 4.2202
_cell_length_b 4.2202
_cell_length_c 4.2202
_cell_angle_alpha 60.00
_cell_angle_beta 60.00
_cell_angle_gamma 60.00
loop_
_space_group_symop_operation_xyz
'x,y,z'
loop_
_atom_site_label
_atom_site_type_symbol
_atom_site_fract_x
_atom_site_fract_y
_atom_site_fract_z
Y1 Y 0.7500 0.7500 0.7500
Ta1 Ta 0.2500 0.2500 0.2500
B1 B 0.0000 0.0000 0.0000
```



| no. | volume (A^3/atom) |
| --- | --- |
| 1 | 16.2 |
| 2 | 17.9 |
| 3 | 15.9 |
| 4 | 17.7 |